VASP calculation (PBE-GGA) on Li3Sc2PaSe6 after structural relaxation.

Results
Space-group type: No. 12
Energy relative to the elements, uncorrected, eV per atom: -1.477

Cell lengths 6.7855, 6.7855, 6.8861 Å; angles 99.45, 99.45, 120.01 degrees
Last column: nearest neighbours and their distance in Å.
Fractional positions:
Se (0.0834, 0.4263, 0.2503)  3 Li 2.74-2.81, 2 Sc 2.76, 1 Pa 2.84
Se (0.5737, 0.9166, 0.7497)  3 Li 2.74-2.81, 2 Sc 2.76, 1 Pa 2.84
Se (0.2592, 0.2592, 0.7491)  3 Li 2.73-2.80, 2 Sc 2.76, 1 Pa 2.84
Se (0.9166, 0.5737, 0.7497)  3 Li 2.74-2.81, 2 Sc 2.76, 1 Pa 2.84
Se (0.4263, 0.0834, 0.2503)  3 Li 2.74-2.81, 2 Sc 2.76, 1 Pa 2.84
Se (0.7408, 0.7408, 0.2509)  3 Li 2.73-2.80, 2 Sc 2.76, 1 Pa 2.84
Li (0.1660, 0.8340, 0.5000)  6 Se 2.74-2.81
Li (0.5000, 0.5000, 0.5000)  6 Se 2.73-2.81
Li (0.8340, 0.1660, 0.5000)  6 Se 2.74-2.81
Sc (0.3333, 0.6667, 0.0000)  6 Se 2.76
Sc (0.6667, 0.3333, 0.0000)  6 Se 2.76
Pa (0.0000, 0.0000, 0.0000)  6 Se 2.84



VASP calculation (PBE-GGA) on CrAsSe2N after structural relaxation.

Results
Space-group type: No. 123
Energy relative to the elements, uncorrected, eV per atom: 1.245
E above lowest polymorph, kJ/mol of atoms: 94.50

Cell lengths 5.1041, 5.1041, 3.5926 Å; angles 90.00, 90.00, 90.00 degrees
Last column: nearest neighbours and their distance in Å.
Fractional positions:
N (0.0000, 0.0000, 0.5000)  2 As 1.80
Cr (0.5000, 0.5000, 0.5000)  8 Se 3.12
As (0.0000, 0.0000, 0.0000)  2 N 1.80
Se (0.0000, 0.5000, 0.0000)  2 As 2.55
Se (0.5000, 0.0000, 0.0000)  2 As 2.55



VASP calculation (PBE-GGA) on PrBS3 after structural relaxation.

Results
Space-group type: No. 33
Energy relative to the elements, uncorrected, eV per atom: -1.257
E above lowest polymorph, kJ/mol of atoms: 0.00

Cell lengths 6.0102, 7.7398, 8.9965 Å; angles 90.00, 90.00, 90.00 degrees
Last column: nearest neighbours and their distance in Å.
Fractional positions:
S (0.5931, 0.9969, 0.4465)  1 B 1.81
S (0.8671, 0.7980, 0.1348)  1 B 1.83
S (0.0931, 0.5031, 0.9465)  1 B 1.81
S (0.3360, 0.6717, 0.2271)  1 B 1.82
S (0.9069, 0.4969, 0.4465)  1 B 1.81
S (0.6640, 0.3283, 0.7271)  1 B 1.82
S (0.1329, 0.2020, 0.6348)  1 B 1.83
S (0.4069, 0.0031, 0.9465)  1 B 1.81
S (0.6329, 0.2980, 0.1348)  1 B 1.83
S (0.3671, 0.7020, 0.6348)  1 B 1.83
S (0.1640, 0.1717, 0.2271)  1 B 1.82
S (0.8360, 0.8283, 0.7271)  1 B 1.82
B (0.9037, 0.3528, 0.6045)  3 S 1.81-1.83
B (0.0963, 0.6472, 0.1045)  3 S 1.81-1.83
B (0.4037, 0.1472, 0.1045)  3 S 1.81-1.83
B (0.5963, 0.8528, 0.6045)  3 S 1.81-1.83
Pr (0.0725, 0.8848, 0.4329)  9 S 2.90-3.25
Pr (0.9275, 0.1152, 0.9329)  9 S 2.90-3.25
Pr (0.5725, 0.6152, 0.9329)  9 S 2.90-3.25
Pr (0.4275, 0.3848, 0.4329)  9 S 2.90-3.25



VASP calculation (PBE-GGA) on Zn2AgBi after structural relaxation.

Results
ΔE_f, eV/atom: 0.220
Space-group type: No. 166

Cell lengths 3.8184, 3.8184, 7.3529 Å; angles 74.95, 74.95, 60.00 degrees
Last column: nearest neighbours and their distance in Å.
Fractional positions:
Ag (0.0000, 0.0000, 0.0000)  6 Zn 2.66
Bi (0.5000, 0.5000, 0.5000)  6 Zn 2.99
Zn (0.2627, 0.2627, 0.2119)  3 Ag 2.66
Zn (0.7373, 0.7373, 0.7881)  3 Ag 2.66



VASP calculation (PBE-GGA) on Sr2TaTi after structural relaxation.

Results
ΔE_f, eV/atom: 1.319
Space-group type: No. 225
E above lowest polymorph, kJ/mol of atoms: 0.00

Cell lengths 5.4837, 5.4837, 5.4837 Å; angles 60.00, 60.00, 60.00 degrees
Last column: nearest neighbours and their distance in Å.
Fractional positions:
Ti (0.0000, 0.0000, 0.0000)  8 Sr 3.36
Sr (0.7500, 0.7500, 0.7500)  4 Ti 3.36, 4 Ta 3.36
Sr (0.2500, 0.2500, 0.2500)  4 Ta 3.36, 4 Ti 3.36
Ta (0.5000, 0.5000, 0.5000)  8 Sr 3.36



VASP calculation (PBE-GGA) on SrMgIr3 after structural relaxation.

Results
ΔE_f, eV/atom: 0.902
Space-group type: No. 221
E above lowest polymorph, kJ/mol of atoms: 0.00

Cell lengths 4.6922, 4.6922, 4.6922 Å; angles 90.00, 90.00, 90.00 degrees
Last column: nearest neighbours and their distance in Å.
Fractional positions:
Sr (0.5000, 0.5000, 0.5000)  12 Ir 3.32
Ir (0.0000, 0.5000, 0.0000)  2 Mg 2.35
Ir (0.0000, 0.0000, 0.5000)  2 Mg 2.35
Ir (0.5000, 0.0000, 0.0000)  2 Mg 2.35
Mg (0.0000, 0.0000, 0.0000)  6 Ir 2.35